First-principles (PBE-GGA) data for an optimized crystal structure of Ca2GdHg, as listed in the Alexandria database.

abc: 3.7409 3.7409 9.2455
angles: 90.00 90.00 90.00
Atoms (fractional coordinates):
Ca 0.0000 0.0000 0.2056
Ca 0.0000 0.0000 0.7944
Gd 0.5000 0.5000 0.5000
Hg 0.5000 0.5000 0.0000

## Properties
Space-group type: No. 123
Energy relative to the lowest polymorph listed for this composition, eV per atom: 0.000
ΔH_f (0 K), eV per atom: -0.20
VASP energy, eV/atom: -4.80


First-principles (PBE-GGA) data for an optimized crystal structure of PmScGaAu, as listed in the Alexandria database.

abc: 5.0350 5.0350 5.0350
angles: 60.00 60.00 60.00
Atoms (fractional coordinates):
Pm 0.0000 0.0000 0.0000
Sc 0.5000 0.5000 0.5000
Ga 0.2500 0.2500 0.2500
Au 0.7500 0.7500 0.7500

## Properties
Space-group type: No. 216
ΔH_f (0 K), eV per atom: -0.63
VASP energy, eV/atom: -4.98


First-principles (PBE-GGA) data for an optimized crystal structure of KNb3Re, as listed in the Alexandria database.

abc: 5.0067 5.0067 5.0067
angles: 90.00 90.00 90.00
Atoms (fractional coordinates):
K 0.0000 0.0000 0.0000
Nb 0.0000 0.5000 0.5000
Nb 0.5000 0.0000 0.5000
Nb 0.5000 0.5000 0.0000
Re 0.5000 0.5000 0.5000

## Properties
Space-group type: No. 221
Energy relative to the lowest polymorph listed for this composition, eV per atom: 0.000
ΔH_f (0 K), eV per atom: 1.25
VASP energy, eV/atom: -7.50


First-principles (PBE-GGA) data for an optimized crystal structure of ScTl2P, as listed in the Alexandria database.

abc: 4.2987 4.0044 5.7199
angles: 90.00 104.29 90.00
Atoms (fractional coordinates):
Sc 0.0000 0.0000 0.0000
Tl 0.0000 0.5000 0.5000
Tl 0.5000 0.0000 0.5000
P 0.5000 0.5000 0.0000

## Properties
Space-group type: No. 10
Energy relative to the lowest polymorph listed for this composition, eV per atom: 0.331
ΔH_f (0 K), eV per atom: -0.12
VASP energy, eV/atom: -4.24


First-principles (PBE-GGA) data for an optimized crystal structure of CsRbZnGe, as listed in the Alexandria database.

abc: 7.0020 7.0020 9.4162
angles: 129.13 129.13 37.86
Atoms (fractional coordinates):
Cs 0.0000 0.0000 0.0000
Rb 0.4778 0.4778 0.4774
Zn 0.2391 0.2391 0.5359
Ge 0.7361 0.7361 0.4456

## Properties
Space-group type: No. 8
Energy relative to the lowest polymorph listed for this composition, eV per atom: 0.033
ΔH_f (0 K), eV per atom: -0.03
VASP energy, eV/atom: -1.95


First-principles (PBE-GGA) data for an optimized crystal structure of Sr5Mg2Cd12, as listed in the Alexandria database.

abc: 9.7739 9.7739 7.6504
angles: 92.65 92.65 47.80
Atoms (fractional coordinates):
Sr 0.0000 0.0000 0.0000
Sr 0.2424 0.2424 0.9356
Sr 0.2958 0.2958 0.4574
Sr 0.7042 0.7042 0.5426
Sr 0.7576 0.7576 0.0644
Mg 0.2908 0.7092 0.5000
Mg 0.7092 0.2908 0.5000
Cd 0.0543 0.6672 0.7450
Cd 0.1018 0.1018 0.5957
Cd 0.2032 0.5853 0.1547
Cd 0.3328 0.9457 0.2550
Cd 0.4147 0.7968 0.8453
Cd 0.4535 0.4535 0.8132
Cd 0.5465 0.5465 0.1868
Cd 0.5853 0.2032 0.1547
Cd 0.6672 0.0543 0.7450
Cd 0.7968 0.4147 0.8453
Cd 0.8982 0.8982 0.4043
Cd 0.9457 0.3328 0.2550

## Properties
Space-group type: No. 12
ΔH_f (0 K), eV per atom: -0.23
VASP energy, eV/atom: -1.42


First-principles (PBE-GGA) data for an optimized crystal structure of GdHf2Th, as listed in the Alexandria database.

abc: 3.9422 3.9422 6.9889
angles: 90.00 90.00 90.00
Atoms (fractional coordinates):
Gd 0.0000 0.0000 0.0000
Hf 0.5000 0.5000 0.2809
Hf 0.5000 0.5000 0.7191
Th 0.0000 0.0000 0.5000

## Properties
Space-group type: No. 123
Energy relative to the lowest polymorph listed for this composition, eV per atom: 0.015
ΔH_f (0 K), eV per atom: 0.19
VASP energy, eV/atom: -10.16


First-principles (PBE-GGA) data for an optimized crystal structure of SrPmMg2Au4, as listed in the Alexandria database.

abc: 8.5588 8.5588 8.5588
angles: 34.95 34.95 34.95
Atoms (fractional coordinates):
Sr 0.0000 0.0000 0.0000
Pm 0.5000 0.5000 0.5000
Mg 0.2506 0.2506 0.2506
Mg 0.7494 0.7494 0.7494
Au 0.1340 0.1340 0.1340
Au 0.3742 0.3742 0.3742
Au 0.6258 0.6258 0.6258
Au 0.8660 0.8660 0.8660

## Properties
Space-group type: No. 166
ΔH_f (0 K), eV per atom: -0.66
VASP energy, eV/atom: -3.50


- Which of these has the highest VASP energy?
  Sr5Mg2Cd12